This record from Alexandria via LeMat-Bulk describes an optimized crystal structure of RbLaBeTl2. The functional is PBEsol.

## Properties
**Total magnetization**: 0.0 μB per cell
**Space group**: P4/mmm, No. 123

The structure in POSCAR format:
```
RbLaBeTl2
1.0
5.003 0.000 0.000
0.000 5.780 0.000
0.000 0.000 5.780
Be Tl Rb La
1 2 1 1
Cartesian
2.501 0.000 0.000 Be
0.000 0.000 2.890 Tl
0.000 2.890 0.000 Tl
0.000 0.000 0.000 Rb
2.501 2.890 2.890 La
```


This record from Alexandria via LeMat-Bulk describes an optimized crystal structure of RbLa2BeW. The functional is PBEsol.

## Properties
**Total magnetization**: 0.0 μB per cell
**Space group**: P4/mmm, No. 123

The structure in POSCAR format:
```
RbLa2BeW
1.0
-1.163 1.882 4.940
-4.763 -2.567 -0.143
2.550 -4.868 2.455
Be Rb W La
1 1 1 2
Cartesian
-1.688 -2.777 3.626 Be
1.275 -2.434 1.227 Rb
0.000 0.000 0.000 W
-2.381 -1.284 -0.072 La
-0.581 0.941 2.470 La
```


This record from Alexandria via LeMat-Bulk describes an optimized crystal structure of LaBe2Re. The functional is PBEsol.

## Properties
**Total magnetization**: 0.0 μB per cell
**Space group**: Imm2, No. 44
**Excess energy over the best structure of this formula in the dataset**: 418 meV/atom

The structure in POSCAR format:
```
LaBe2Re
1.0
-2.574 -1.183 1.079
0.894 -4.174 -2.444
2.958 1.153 4.063
Re Be La
1 2 1
Cartesian
-0.407 -1.226 1.945 Re
0.004 -0.003 0.006 Be
1.697 -2.988 0.774 Be
2.101 -1.514 3.354 La
```


This record from Alexandria via LeMat-Bulk describes an optimized crystal structure of LaBeRe. The functional is PBEsol.

## Properties
**Total magnetization**: 0.0 μB per cell
**Space group**: F-43m, No. 216

The structure in POSCAR format:
```
LaBeRe
1.0
4.346 0.000 0.000
2.173 3.763 0.000
2.173 1.254 3.548
Re Be La
1 1 1
Cartesian
2.173 1.254 0.887 Re
0.000 0.000 0.000 Be
4.346 2.509 1.774 La
```


This record from Alexandria via LeMat-Bulk describes an optimized crystal structure of LaBe2Re. The functional is PBEsol.

## Properties
**Total magnetization**: 0.0 μB per cell
**Space group**: Amm2, No. 38
**Excess energy over the best structure of this formula in the dataset**: 0 meV/atom

The structure in POSCAR format:
```
LaBe2Re
1.0
3.261 0.000 -0.024
0.000 3.394 0.000
-1.588 0.000 5.744
Re Be La
1 2 1
Cartesian
-0.573 1.697 5.121 Re
1.060 0.000 5.525 Be
2.657 1.697 0.935 Be
1.038 0.000 2.722 La
```


This record from Alexandria via LeMat-Bulk describes an optimized crystal structure of LaBe2Re. The functional is PBEsol.

## Properties
**Total magnetization**: 0.0 μB per cell
**Space group**: C2/m, No. 12
**Excess energy over the best structure of this formula in the dataset**: 399 meV/atom

The structure in POSCAR format:
```
LaBe2Re
1.0
3.073 0.040 0.055
-0.242 4.517 -0.053
-0.242 -1.388 4.298
Re Be La
1 2 1
Cartesian
1.537 0.020 0.027 Re
-0.121 -0.694 2.149 Be
-0.121 2.258 -0.026 Be
1.295 1.584 2.150 La
```


no.,formation energy from the elements (meV per atom),DOS at the Fermi energy (states/eV/atom)
1,1066,0.9106
2,1356,0.8225
3,645,0.5180
4,794,0.1363
5,227,0.7198
6,626,0.6332